--- w ---
The following is a GGA-PBE calculation of a relaxed La2HfRe crystal, from Alexandria via LeMat-Bulk.

abc: 5.2069 5.2069 5.2069
angles: 60.00 60.00 60.00
Positions (direct):
Re: 0.5000 0.5000 0.5000
La: 0.2500 0.2500 0.2500
La: 0.7500 0.7500 0.7500
Hf: 0.0000 0.0000 0.0000

space group: Fm-3m (225)
theoretical density: 10.69 g/cm3

--- x ---
The following is a GGA-PBE calculation of a relaxed La2HfRe crystal, from Alexandria via LeMat-Bulk.

abc: 10.1127 10.1127 7.6106
angles: 48.37 48.37 90.00
Positions (direct):
La: 0.9898 0.6250 0.2500
La: 0.8750 0.0102 0.7500
La: 0.3750 0.2398 0.7500
La: 0.7602 0.1250 0.2500
Hf: 0.2500 0.7500 0.5000
Hf: 0.5000 0.5000 0.0000
Re: 0.0000 0.0000 0.0000
Re: 0.7500 0.2500 0.5000

space group: I-42d (122)
theoretical density: 8.01 g/cm3

Taking the most stable structure as the zero point, the relative energies in kJ/mol of atoms are w 0.0; x 1.0.

--- w ---
The following is a GGA-PBE calculation of a relaxed La2Hf2Rh crystal, from Alexandria via LeMat-Bulk.

abc: 3.8349 3.8349 9.9748
angles: 78.92 78.92 90.00
Positions (direct):
Hf: 0.2500 0.7500 0.5000
Hf: 0.7500 0.2500 0.5000
La: 0.5832 0.5832 0.8336
La: 0.4168 0.4168 0.1664
Rh: 0.0000 0.0000 0.0000

space group: I4/mmm (139)
theoretical density: 8.68 g/cm3

--- x ---
The following is a GGA-PBE calculation of a relaxed La2Hf2Rh crystal, from Alexandria via LeMat-Bulk.

abc: 7.1308 7.1308 5.3150
angles: 90.00 90.00 90.00
Positions (direct):
Rh: 0.5000 0.5000 0.0000
Rh: 0.0000 0.0000 0.0000
Hf: 0.3468 0.1532 0.5000
Hf: 0.1532 0.6532 0.5000
Hf: 0.8468 0.3468 0.5000
Hf: 0.6532 0.8468 0.5000
La: 0.1564 0.3436 0.0000
La: 0.6564 0.1564 0.0000
La: 0.3436 0.8436 0.0000
La: 0.8436 0.6564 0.0000

space group: P4/mbm (127)
theoretical density: 9.07 g/cm3

Taking the most stable structure as the zero point, the relative energies in kJ/mol of atoms are w 0.0; x 7.9.